# 1
The following is a DFT calculation (PBE-GGA) of a geometry-optimized SrHgIr2 structure.

Cell: 9.727 3.054 5.715 Å, 90.00 100.37 90.00°
Space group C2/m (No. 12)
Asymmetric unit:
Sr1 0.000 0.000 0.000 (multiplicity 2)
Hg1 0.000 0.500 0.500 (multiplicity 2)
Ir1 0.243 0.000 0.685 (multiplicity 4)

Computed properties:
D(E_F) (states/eV per cell): 6.15
ΔH_f (0 K) (eV per atom): 0.334

=====

# 2
The following is a DFT calculation (PBE-GGA) of a geometry-optimized Be4AsAu structure.

Cell: 6.562 6.562 6.562 Å, 90.00 90.00 90.00°
Space group F-43m (No. 216)
Asymmetric unit:
Be1 0.125 0.125 0.125 (multiplicity 16)
As1 0.000 0.000 0.500 (multiplicity 4)
Au1 0.250 0.250 0.750 (multiplicity 4)

Computed properties:
D(E_F) (states/eV per cell): 1.48
ΔH_f (0 K) (eV per atom): 0.244

=====

# 3
The following is a DFT calculation (PBE-GGA) of a geometry-optimized Ga6Co2Ir structure.

Cell: 5.856 6.580 8.411 Å, 90.00 121.65 90.00°
Space group P2_1/c (No. 14)
Asymmetric unit:
Ga1 0.041 0.042 0.218 (multiplicity 4)
Ga2 0.179 0.681 0.061 (multiplicity 4)
Ga3 0.419 0.143 0.070 (multiplicity 4)
Co1 0.292 0.142 0.741 (multiplicity 4)
Ir1 0.500 0.000 0.500 (multiplicity 2)

Computed properties:
D(E_F) (states/eV per cell): 6.17
ΔH_f (0 K) (eV per atom): -0.136

=====

# 4
The following is a DFT calculation (PBE-GGA) of a geometry-optimized PSCl2O structure.

Cell: 4.686 4.686 4.986 Å, 90.00 90.00 90.00°
Space group P4/mmm (No. 123)
Asymmetric unit:
P1 0.000 0.000 0.000 (multiplicity 1)
S1 0.000 0.000 0.500 (multiplicity 1)
Cl1 0.000 0.500 0.500 (multiplicity 2)
O1 0.500 0.500 0.000 (multiplicity 1)

Computed properties:
D(E_F) (states/eV per cell): 3.67
Uncorrected formation energy (meV/atom): 1027

=====

# 5
The following is a DFT calculation (PBE-GGA) of a geometry-optimized Mg2SnBr2 structure.

Cell: 8.126 8.126 5.061 Å, 90.00 90.00 90.00°
Space group P4/mbm (No. 127)
Asymmetric unit:
Mg1 0.235 0.265 0.000 (multiplicity 4)
Sn1 0.000 0.000 0.000 (multiplicity 2)
Br1 0.167 0.333 0.500 (multiplicity 4)

Computed properties:
D(E_F) (states/eV per cell): 0.07
Uncorrected formation energy (meV/atom): -481

=====

# 6
The following is a DFT calculation (PBE-GGA) of a geometry-optimized Mg2Cd15Sn2 structure.

Cell: 9.4804 9.4804 18.3444 Å, 90.00 90.00 120.00°
Space group R-3m (No. 166, hexagonal axes)
Asymmetric unit:
Mg1 0.0000 0.0000 0.2162 (multiplicity 6)
Cd1 0.0000 0.3127 0.5000 (multiplicity 18)
Cd2 0.0000 0.5000 0.0000 (multiplicity 9)
Cd3 0.0363 0.5181 0.6265 (multiplicity 18)
Sn1 0.0000 0.0000 0.4035 (multiplicity 6)

Computed properties:
D(E_F) (states/eV per cell): 19.72
ΔH_f (0 K) (eV per atom): 0.071

=====

Number 1: magnetic moment 0.000 μB/atom, uncorrected energy -36.74 eV/cell. Number 2: magnetic moment 0.000 μB/atom, uncorrected energy -85.47 eV/cell. Number 3: magnetic moment 0.000 μB/atom, uncorrected energy -84.91 eV/cell. Number 4: magnetic moment 0.015 μB/atom, uncorrected energy -13.05 eV/cell. Number 5: magnetic moment 0.000 μB/atom, uncorrected energy -25.89 eV/cell. Number 6: magnetic moment 0.000 μB/atom, uncorrected energy -70.70 eV/cell.